[1]
The following is a GGA-PBEsol calculation of crystalline ZrFe4Mo at its relaxed geometry, from Alexandria.

Cell: 4.7434 4.7434 4.7434 Å, 60.00 60.00 60.00°
Fractional coordinates of all 6 atoms:
Zr 0.0000 0.0000 0.0000
Fe 0.3746 0.3746 0.3746
Fe 0.3746 0.3746 0.8763
Fe 0.3746 0.8763 0.3746
Fe 0.8763 0.3746 0.3746
Mo 0.7500 0.7500 0.7500

Summary:
DFT formation energy = -0.55 eV per formula unit
DFT total energy = -57.26 eV for the cell shown
DOS(E_F) = 9.40 states/eV/cell
total magnetization = 3.55 μB/f.u.



[2]
The following is a GGA-PBEsol calculation of crystalline ZrCr2Si at its relaxed geometry, from Alexandria.

Cell: 4.2587 4.2587 4.2587 Å, 60.00 60.00 60.00°
Fractional coordinates of all 4 atoms:
Zr 0.0000 0.0000 0.0000
Cr 0.2500 0.2500 0.2500
Cr 0.7500 0.7500 0.7500
Si 0.5000 0.5000 0.5000

Summary:
DFT total energy = -35.79 eV for the cell shown
formation energy without anion corrections = -0.118 eV per atom
DOS(E_F) = 4.77 states/eV/cell
total magnetization = 2.60 μB/f.u.



[3]
The following is a GGA-PBEsol calculation of crystalline LaSmCr2O6 at its relaxed geometry, from Alexandria.

Cell: 7.6698 5.3856 5.4956 Å, 90.00 90.00 90.00°
Fractional coordinates of all 20 atoms:
La 0.0000 0.2413 0.0000
La 0.0000 0.7587 0.5000
Sm 0.5000 0.2627 0.0962
Sm 0.5000 0.7373 0.5962
Cr 0.2541 0.2483 0.5429
Cr 0.2541 0.7517 0.0429
Cr 0.7459 0.2483 0.5429
Cr 0.7459 0.7517 0.0429
O 0.0000 0.3228 0.5557
O 0.0000 0.6772 0.0557
O 0.2136 0.0453 0.2480
O 0.2136 0.9547 0.7480
O 0.3006 0.4586 0.8326
O 0.3006 0.5414 0.3326
O 0.5000 0.1595 0.5176
O 0.5000 0.8405 0.0176
O 0.6994 0.4586 0.8326
O 0.6994 0.5414 0.3326
O 0.7864 0.0453 0.2480
O 0.7864 0.9547 0.7480

Summary:
DFT total energy = -180.57 eV for the cell shown
formation energy without anion corrections = -2.787 eV per atom
total magnetization = 6.00 μB/f.u.



[4]
The following is a GGA-PBEsol calculation of crystalline BeAg2Pt at its relaxed geometry, from Alexandria.

Cell: 4.3328 4.3328 4.3328 Å, 60.00 60.00 60.00°
Fractional coordinates of all 4 atoms:
Be 0.0000 0.0000 0.0000
Ag 0.5000 0.5000 0.5000
Ag 0.7500 0.7500 0.7500
Pt 0.2500 0.2500 0.2500

Summary:
DFT formation energy = 0.09 eV per formula unit
DFT total energy = -17.50 eV for the cell shown
DOS(E_F) = 1.14 states/eV/cell
total magnetization = 0.00 μB/f.u.



[5]
The following is a GGA-PBEsol calculation of crystalline TaPtCl2 at its relaxed geometry, from Alexandria.

Cell: 4.5485 4.5485 4.5485 Å, 120.23 120.23 89.60°
Fractional coordinates of all 4 atoms:
Ta 0.0000 0.0000 0.0000
Pt 0.2500 0.7500 0.5000
Cl 0.5000 0.5000 0.0000
Cl 0.7500 0.2500 0.5000

Summary:
energy relative to the lowest polymorph listed for this composition = 82 meV per atom
DFT total energy = -22.74 eV for the cell shown
formation energy without anion corrections = 0.198 eV per atom
DOS(E_F) = 3.04 states/eV/cell
total magnetization = 0.25 μB/f.u.



[6]
The following is a GGA-PBEsol calculation of crystalline CaLaBe2P at its relaxed geometry, from Alexandria.

Cell: 4.7511 4.7511 5.0223 Å, 90.00 90.00 90.00°
Fractional coordinates of all 5 atoms:
Ca 0.0000 0.0000 0.0000
La 0.5000 0.5000 0.5000
Be 0.0000 0.5000 0.0000
Be 0.5000 0.0000 0.0000
P 0.0000 0.0000 0.5000

Summary:
DFT formation energy = 3.32 eV per formula unit
DFT total energy = -17.96 eV for the cell shown
DOS(E_F) = 2.64 states/eV/cell
total magnetization = 0.00 μB/f.u.



[7]
The following is a GGA-PBEsol calculation of crystalline BaF2 at its relaxed geometry, from Alexandria.

Cell: 6.6712 4.0262 7.9045 Å, 90.00 90.00 90.00°
Fractional coordinates of all 12 atoms:
Ba 0.2493 0.2500 0.1158
Ba 0.2507 0.7500 0.6158
Ba 0.7493 0.2500 0.3842
Ba 0.7507 0.7500 0.8842
F 0.0295 0.7500 0.3314
F 0.1417 0.7500 0.9304
F 0.3583 0.2500 0.4304
F 0.4705 0.2500 0.8314
F 0.5295 0.7500 0.1686
F 0.6417 0.7500 0.5696
F 0.8583 0.2500 0.0696
F 0.9705 0.2500 0.6686

Summary:
energy relative to the lowest polymorph listed for this composition = 29 meV per atom
DFT total energy = -70.19 eV for the cell shown
formation energy without anion corrections = -3.848 eV per atom
DOS(E_F) = 0.00 states/eV/cell
total magnetization = 0.00 μB/f.u.



[8]
The following is a GGA-PBEsol calculation of crystalline GaAu2SeBr at its relaxed geometry, from Alexandria.

Cell: 4.9426 4.9426 4.7943 Å, 90.00 90.00 90.00°
Fractional coordinates of all 5 atoms:
Ga 0.0000 0.0000 0.0000
Au 0.0000 0.5000 0.0000
Au 0.5000 0.0000 0.0000
Se 0.0000 0.0000 0.5000
Br 0.5000 0.5000 0.5000

Summary:
DFT total energy = -14.34 eV for the cell shown
formation energy without anion corrections = 0.514 eV per atom
DOS(E_F) = 3.73 states/eV/cell
total magnetization = 0.00 μB/f.u.



[9]
The following is a GGA-PBEsol calculation of crystalline NaCd2InCl at its relaxed geometry, from Alexandria.

Cell: 5.6204 5.6204 4.8473 Å, 90.00 90.00 90.00°
Fractional coordinates of all 5 atoms:
Na 0.0000 0.0000 0.0000
Cd 0.0000 0.5000 0.0000
Cd 0.5000 0.0000 0.0000
In 0.5000 0.5000 0.5000
Cl 0.0000 0.0000 0.5000

Summary:
DFT total energy = -8.73 eV for the cell shown
formation energy without anion corrections = 0.012 eV per atom
DOS(E_F) = 1.97 states/eV/cell
total magnetization = 0.00 μB/f.u.



[10]
The following is a GGA-PBEsol calculation of crystalline Sc3BiPt at its relaxed geometry, from Alexandria.

Cell: 5.0392 5.0392 5.0392 Å, 90.00 90.00 90.00°
Fractional coordinates of all 5 atoms:
Sc 0.0000 0.0000 0.5000
Sc 0.0000 0.5000 0.0000
Sc 0.5000 0.0000 0.0000
Bi 0.5000 0.5000 0.5000
Pt 0.0000 0.0000 0.0000

Summary:
DFT formation energy = -2.62 eV per formula unit
DFT total energy = -33.69 eV for the cell shown
DOS(E_F) = 6.98 states/eV/cell
total magnetization = 0.00 μB/f.u.



[11]
The following is a GGA-PBEsol calculation of crystalline Co4TcMo at its relaxed geometry, from Alexandria.

Cell: 4.5887 4.5887 4.5887 Å, 60.00 60.00 60.00°
Fractional coordinates of all 6 atoms:
Co 0.1254 0.1254 0.1254
Co 0.1254 0.1254 0.6239
Co 0.1254 0.6239 0.1254
Co 0.6239 0.1254 0.1254
Tc 0.5000 0.5000 0.5000
Mo 0.7500 0.7500 0.7500

Summary:
DFT formation energy = 0.06 eV per formula unit
DFT total energy = -53.92 eV for the cell shown
DOS(E_F) = 8.75 states/eV/cell
total magnetization = 2.88 μB/f.u.



[12]
The following is a GGA-PBEsol calculation of crystalline TaSb3Os at its relaxed geometry, from Alexandria.

Cell: 5.0517 5.0517 5.0517 Å, 90.00 90.00 90.00°
Fractional coordinates of all 5 atoms:
Ta 0.0000 0.0000 0.0000
Sb 0.0000 0.5000 0.5000
Sb 0.5000 0.0000 0.5000
Sb 0.5000 0.5000 0.0000
Os 0.5000 0.5000 0.5000

Summary:
DFT total energy = -31.57 eV for the cell shown
formation energy without anion corrections = 1.375 eV per atom
DOS(E_F) = 5.97 states/eV/cell
total magnetization = 3.02 μB/f.u.